Entry 1:
ZrTcSe4: optimized geometry, PBE-GGA.

The structure in extended XYZ format:
```
6
Lattice="-1.642 -0.578 5.272 -4.833 2.173 1.656 -4.266 -3.333 1.229" Properties=species:S:1:pos:R:3 pbc="T T T"
Zr 0.000 0.000 0.000
Tc -2.685 -0.434 2.039
Se -5.892 -0.797 2.464
Se -6.712 -1.086 5.097
Se -4.298 -2.171 4.270
Se -4.581 0.579 4.483
```

Output
Crystal system: cubic
Raw formation energy, eV per atom: 0.810
M_tot, Bohr magnetons per cell: 2.235
Uncorrected energy, eV for the cell shown: -27.99

=====

Entry 2:
BaMg2CdBr8: optimized geometry, PBE-GGA.

The structure in extended XYZ format:
```
12
Lattice="-4.359 1.887 -5.001 -3.107 -5.837 0.196 -5.354 3.044 5.815" Properties=species:S:1:pos:R:3 pbc="T T T"
Ba -2.677 1.522 2.907
Mg -7.811 0.345 2.027
Mg -5.010 -1.250 -1.018
Cd 0.000 0.000 0.000
Br -4.212 -3.311 0.577
Br -10.454 0.003 2.711
Br -5.615 0.705 -2.817
Br -8.608 2.405 0.432
Br -2.366 -0.909 -1.702
Br -7.205 -1.610 3.826
Br -7.641 -1.433 -0.116
Br -5.179 0.528 1.125
```

Output
Crystal system: monoclinic
Raw formation energy, eV per atom: -1.399
M_tot, Bohr magnetons per cell: 0.000
Uncorrected energy, eV for the cell shown: -36.20

=====

Entry 3:
AgC8S4N4Cl: optimized geometry, PBE-GGA.

The structure in extended XYZ format:
```
18
Lattice="-6.257 -8.695 -0.170 5.840 8.265 3.518 -8.372 6.396 -1.948" Properties=species:S:1:pos:R:3 pbc="T T T"
Ag 0.000 0.000 0.000
C -4.234 7.611 -0.229
C -4.391 -1.476 0.310
C -1.705 3.984 2.709
C -7.249 1.812 0.011
C -5.127 6.659 -0.399
C -3.514 -0.540 0.603
C -0.738 3.092 2.651
C -8.200 2.719 -0.054
S -6.218 5.570 -0.623
S -2.435 0.535 0.928
S 0.368 1.997 2.596
S -9.294 3.827 -0.100
N -9.677 -0.215 -0.230
N -5.194 -2.335 0.055
N -8.428 -3.464 -0.770
N -6.377 0.984 0.058
Cl -7.419 -1.258 -0.222
```

Output
Crystal system: tetragonal
Raw formation energy, eV per atom: 0.855
M_tot, Bohr magnetons per cell: 0.000
Uncorrected energy, eV for the cell shown: -112.91

=====

Entry 4:
Cs3NdNp3S8: optimized geometry, PBE-GGA.

The structure in extended XYZ format:
```
15
Lattice="-6.852 4.490 -1.029 1.236 -6.761 -4.608 -2.353 -1.522 9.022" Properties=species:S:1:pos:R:3 pbc="T T T"
Cs 0.000 0.000 0.000
Cs 0.618 -3.380 -2.304
Cs -2.808 -1.135 -2.818
Nd -1.176 -0.761 4.511
Np -4.602 1.484 3.996
Np -3.984 -1.897 1.692
Np -0.558 -4.142 2.207
S -1.956 -2.961 0.098
S -6.013 -0.832 3.286
S -5.366 -0.680 -0.362
S -2.603 -3.113 3.746
S -5.957 2.624 1.870
S -2.011 -6.418 1.515
S -2.622 0.439 2.371
S -5.347 -4.232 1.014
```

Output
Crystal system: monoclinic
Raw formation energy, eV per atom: -1.470
M_tot, Bohr magnetons per cell: 3.793
Uncorrected energy, eV for the cell shown: -101.22

=====

Entry 5:
LaBe3Pt: optimized geometry, PBE-GGA.

The structure in extended XYZ format:
```
10
Lattice="-7.329 1.680 -2.188 4.603 -3.884 5.005 -0.012 3.414 2.660" Properties=species:S:1:pos:R:3 pbc="T T T"
Be 0.370 -0.244 2.075
Be -0.907 -1.276 3.395
Be -1.830 2.486 2.082
Be -3.107 1.454 3.402
Be 0.000 0.000 0.000
Be -0.006 1.707 1.330
Pt -2.117 0.102 1.621
Pt -0.621 1.109 3.856
La 2.155 -1.890 4.196
La -4.893 3.100 1.281
```

Output
Crystal system: orthorhombic
M_tot, Bohr magnetons per cell: 0.000
ΔE_f, eV per atom: -0.388
Uncorrected energy, eV for the cell shown: -48.18

=====

Entry 6:
LuScAlPd: optimized geometry, PBE-GGA.

The structure in extended XYZ format:
```
4
Lattice="4.856 0.000 0.000 2.428 4.206 0.000 2.428 1.402 3.965" Properties=species:S:1:pos:R:3 pbc="T T T"
Sc 0.000 0.000 0.000
Lu 4.856 2.804 1.982
Al 7.284 4.206 2.974
Pd 2.428 1.402 0.991
```

Output
Crystal system: cubic
M_tot, Bohr magnetons per cell: 0.000
ΔE_f, eV per atom: -0.615
Uncorrected energy, eV for the cell shown: -22.25

=====

Entry 7:
Ni2Ag2P: optimized geometry, PBE-GGA.

The structure in extended XYZ format:
```
10
Lattice="5.713 0.000 0.000 0.000 5.713 0.000 0.000 0.000 4.488" Properties=species:S:1:pos:R:3 pbc="T T T"
Ni 1.982 4.838 0.000
Ni 4.838 3.731 0.000
Ni 3.731 0.875 0.000
Ni 0.875 1.982 0.000
Ag 0.969 3.825 2.244
Ag 3.825 4.744 2.244
Ag 4.744 1.888 2.244
Ag 1.888 0.969 2.244
P 0.000 0.000 0.000
P 2.856 2.856 0.000
```

Output
Crystal system: tetragonal
M_tot, Bohr magnetons per cell: 0.000
ΔE_f, eV per atom: -0.035
Uncorrected energy, eV for the cell shown: -45.70

=====

Entry 8:
Dy4ErTm6: optimized geometry, PBE-GGA.

The structure in extended XYZ format:
```
22
Lattice="-1.028 2.855 -4.663 -4.172 -2.199 2.892 -1.903 21.379 13.509" Properties=species:S:1:pos:R:3 pbc="T T T"
Dy -4.690 12.504 5.371
Dy -4.853 1.839 2.196
Dy -2.413 9.531 6.368
Dy -2.250 20.196 9.543
Dy -5.480 21.384 10.983
Dy -1.623 0.651 0.756
Dy -1.761 14.706 6.074
Dy -5.342 7.328 5.665
Er -4.062 6.266 1.414
Er -3.041 15.768 10.325
Tm -0.514 1.427 -2.331
Tm -1.466 12.117 4.423
Tm -2.110 6.549 4.475
Tm -4.993 15.485 7.263
Tm -5.251 18.391 9.099
Tm -1.852 3.644 2.640
Tm -4.339 9.374 3.377
Tm -2.764 12.661 8.362
Tm -3.317 18.876 12.289
Tm -3.786 3.159 -0.550
Tm -5.105 4.582 3.932
Tm -1.997 17.453 7.807
```

Output
Crystal system: orthorhombic
M_tot, Bohr magnetons per cell: 0.001
ΔE_f, eV per atom: 0.130
Uncorrected energy, eV for the cell shown: -96.75

=====

Entry 9:
Ho8SnSb2: optimized geometry, PBE-GGA.

The structure in extended XYZ format:
```
11
Lattice="-2.900 3.039 2.429 -5.000 -5.040 0.337 6.190 -3.426 6.829" Properties=species:S:1:pos:R:3 pbc="T T T"
Ho 1.289 -4.117 6.690
Ho -0.037 0.780 3.827
Ho -2.012 -2.842 6.001
Ho 1.897 -1.565 9.070
Ho 0.302 -2.584 3.594
Ho -1.673 -6.206 5.768
Ho -2.999 -1.310 2.905
Ho -3.607 -3.862 0.525
Sn -1.450 1.520 1.215
Sb 0.422 -0.865 6.433
Sb -2.132 -4.561 3.162
```

Output
Crystal system: monoclinic
Raw formation energy, eV per atom: -0.449
M_tot, Bohr magnetons per cell: 0.000
Uncorrected energy, eV for the cell shown: -53.81

=====

Entry 10:
Tb3Sm3Pt2: optimized geometry, PBE-GGA.

The structure in extended XYZ format:
```
16
Lattice="3.864 0.000 0.000 -1.932 6.621 0.000 0.000 0.000 18.230" Properties=species:S:1:pos:R:3 pbc="T T T"
Tb 1.932 2.194 8.159
Tb 0.000 4.427 17.274
Tb 1.932 2.194 0.956
Tb 0.000 4.427 10.071
Tb 0.000 5.530 4.557
Tb 1.932 1.091 13.672
Sm 1.932 5.909 7.408
Sm 0.000 0.712 16.522
Sm 1.932 5.909 1.707
Sm 0.000 0.712 10.822
Sm 1.932 2.504 4.557
Sm 0.000 4.117 13.672
Pt 1.932 2.936 15.830
Pt 0.000 3.685 6.715
Pt 1.932 2.936 11.515
Pt 0.000 3.685 2.400
```

Output
Crystal system: orthorhombic
M_tot, Bohr magnetons per cell: 0.000
ΔE_f, eV per atom: -0.572
Uncorrected energy, eV for the cell shown: -89.41

=====

Entry 11:
LiFe4As12: optimized geometry, PBE-GGA.

The structure in extended XYZ format:
```
17
Lattice="-3.683 1.585 6.009 1.433 -7.079 -0.149 6.197 3.713 -0.077" Properties=species:S:1:pos:R:3 pbc="T T T"
Li 0.000 0.000 0.000
Fe 0.716 -3.540 -0.075
Fe -1.842 0.793 3.005
Fe 1.973 -0.890 2.892
Fe 3.098 1.857 -0.038
As -1.468 -0.372 5.025
As 0.400 -2.387 1.962
As 1.313 2.653 4.807
As 4.263 2.356 1.955
As 2.633 -4.434 0.977
As 3.547 0.606 3.821
As 0.512 0.966 2.918
As 3.434 -2.746 2.866
As -0.317 -4.136 3.829
As 0.962 -1.444 4.954
As 2.984 -0.337 0.830
As 5.414 -1.409 0.758
```

Output
Crystal system: cubic
M_tot, Bohr magnetons per cell: 3.040
ΔE_f, eV per atom: -0.213
Uncorrected energy, eV for the cell shown: -95.17

=====

Entry 12:
MgTiIr3: optimized geometry, PBE-GGA.

The structure in extended XYZ format:
```
5
Lattice="4.597 0.000 0.000 0.000 4.597 0.000 0.000 0.000 4.597" Properties=species:S:1:pos:R:3 pbc="T T T"
Mg 2.298 2.298 2.298
Ir 0.000 2.298 0.000
Ir 0.000 0.000 2.298
Ir 2.298 0.000 0.000
Ti 0.000 0.000 0.000
```

Output
Crystal system: cubic
M_tot, Bohr magnetons per cell: 0.000
ΔE_f, eV per atom: 0.706
Uncorrected energy, eV for the cell shown: -32.54

=====

Entry 13:
Sr4BiTeO: optimized geometry, PBE-GGA.

The structure in extended XYZ format:
```
14
Lattice="-5.517 2.666 -3.458 3.297 -1.188 -6.178 -0.932 -9.490 1.327" Properties=species:S:1:pos:R:3 pbc="T T T"
Sr -5.094 -5.947 -3.617
Sr -0.591 -7.662 -4.966
Sr 1.942 -2.064 -4.691
Sr -2.561 -0.349 -3.341
Sr -1.576 -4.005 -4.154
Sr -0.466 -4.745 0.664
Sr -3.224 -3.412 -1.065
Sr 1.183 -5.339 -2.425
Bi -1.095 -1.347 -6.450
Bi -2.056 -6.664 -1.858
Te -0.027 -2.179 -1.637
Te -3.125 -5.832 -6.671
O 0.472 -5.313 -4.851
O -3.624 -2.698 -3.457
```

Output
Crystal system: orthorhombic
Raw formation energy, eV per atom: -1.521
M_tot, Bohr magnetons per cell: 1.098
Uncorrected energy, eV for the cell shown: -58.71

=====

Entry 14:
Li3SiAs: optimized geometry, PBE-GGA.

The structure in extended XYZ format:
```
5
Lattice="4.689 0.000 0.000 0.000 4.689 0.000 0.000 0.000 4.689" Properties=species:S:1:pos:R:3 pbc="T T T"
As 0.000 0.000 0.000
Si 2.345 2.345 2.345
Li 0.000 2.345 0.000
Li 0.000 0.000 2.345
Li 2.345 0.000 0.000
```

Output
Crystal system: cubic
Raw formation energy, eV per atom: 0.121
M_tot, Bohr magnetons per cell: 0.000
Uncorrected energy, eV for the cell shown: -15.21

=====

Entry 15:
Lu3AgC: optimized geometry, PBE-GGA.

The structure in extended XYZ format:
```
5
Lattice="4.766 0.000 0.000 0.000 4.766 0.000 0.000 0.000 4.766" Properties=species:S:1:pos:R:3 pbc="T T T"
C 0.000 0.000 0.000
Lu 0.000 2.383 0.000
Lu 0.000 0.000 2.383
Lu 2.383 0.000 0.000
Ag 2.383 2.383 2.383
```

Output
Crystal system: cubic
M_tot, Bohr magnetons per cell: 0.056
ΔE_f, eV per atom: -0.290
Uncorrected energy, eV for the cell shown: -27.09

=====

Entry 16:
Nd6SiS12: optimized geometry, PBE-GGA.

The structure in extended XYZ format:
```
19
Lattice="-7.696 -1.773 -0.376 2.754 -5.474 -4.996 1.744 -3.594 6.823" Properties=species:S:1:pos:R:3 pbc="T T T"
Nd -2.436 -7.336 -2.066
Nd -3.813 -3.179 -0.772
Nd 1.210 -4.721 -1.219
Nd -0.763 -3.505 3.518
Nd 0.614 -7.661 2.223
Nd -4.409 -6.120 2.670
Si 0.000 0.000 0.000
S -4.056 -6.002 -0.224
S 0.004 -7.233 -0.468
S -1.690 -6.229 3.298
S 0.858 -4.838 1.676
S -3.202 -3.608 1.919
S -1.508 -4.612 -1.847
S 2.766 -6.517 -2.878
S 3.403 -7.278 2.909
S -2.776 -6.489 -4.817
S -5.965 -4.324 4.329
S -6.602 -3.563 -1.458
S -0.422 -4.352 6.268
```

Output
Crystal system: trigonal
Raw formation energy, eV per atom: -1.581
M_tot, Bohr magnetons per cell: 0.539
Uncorrected energy, eV for the cell shown: -113.61

=====

Entry 17:
Li2MnH6Pd: optimized geometry, PBE-GGA.

The structure in extended XYZ format:
```
10
Lattice="-0.895 2.065 4.243 -3.576 -1.927 -2.498 2.331 -4.175 -0.158" Properties=species:S:1:pos:R:3 pbc="T T T"
Li -2.554 -1.587 0.313
Li 0.401 -2.689 1.474
Mn -0.012 -0.013 0.045
H -1.783 -3.563 0.015
H -0.499 -0.073 1.673
H -2.871 -0.374 1.787
H -0.868 -1.323 -0.609
H -1.554 -2.478 1.986
H 0.871 -3.309 -0.406
Pd -0.661 -2.992 -1.316
```

Output
Crystal system: triclinic
M_tot, Bohr magnetons per cell: 2.704
Uncorrected energy, eV for the cell shown: -39.69

=====

Entry 18:
Sc2PdPt: optimized geometry, PBE-GGA.

The structure in extended XYZ format:
```
8
Lattice="-5.173 -4.622 2.103 5.052 -4.377 2.806 -0.271 -3.095 5.023" Properties=species:S:1:pos:R:3 pbc="T T T"
Sc -2.680 -4.219 2.926
Sc 2.454 -4.077 3.268
Sc -0.259 -5.687 5.603
Sc -0.299 -10.205 8.069
Pd -0.061 -4.499 2.455
Pd 2.360 -5.986 5.142
Pt 0.000 0.000 0.000
Pt -2.752 -6.108 4.791
```

Output
Crystal system: tetragonal
M_tot, Bohr magnetons per cell: 0.000
ΔE_f, eV per atom: -0.671
Uncorrected energy, eV for the cell shown: -53.16

=====

Entry 19:
Pm12Dy2Y5: optimized geometry, PBE-GGA.

The structure in extended XYZ format:
```
19
Lattice="9.250 0.000 0.000 -4.625 7.899 1.081 0.000 -1.558 8.638" Properties=species:S:1:pos:R:3 pbc="T T T"
Pm 4.625 6.474 1.922
Pm -2.945 4.343 7.342
Pm 2.945 4.343 7.342
Pm -1.822 5.353 3.561
Pm 1.822 5.353 3.561
Pm 0.000 5.949 6.624
Pm 4.625 0.392 3.094
Pm 6.447 0.989 6.158
Pm 2.803 0.989 6.158
Pm 7.570 1.999 2.376
Pm 1.680 1.999 2.376
Pm 0.000 -0.132 7.797
Dy 6.205 0.000 0.000
Dy 3.046 0.000 0.000
Y 0.000 2.786 5.395
Y 0.000 3.154 9.022
Y 0.000 -0.779 4.319
Y 4.625 3.187 0.696
Y 4.625 3.556 4.324
```

Output
Crystal system: monoclinic
M_tot, Bohr magnetons per cell: 0.000
ΔE_f, eV per atom: 0.115
Uncorrected energy, eV for the cell shown: -96.35

=====

Entry 20:
AcLa2Zn2Pb2: optimized geometry, PBE-GGA.

The structure in extended XYZ format:
```
7
Lattice="4.839 0.000 0.000 2.419 4.191 0.000 2.419 1.397 10.215" Properties=species:S:1:pos:R:3 pbc="T T T"
Ac 0.000 0.000 0.000
La 2.419 1.397 6.052
La 7.258 4.191 4.163
Zn 4.839 2.794 2.891
Zn 4.839 2.794 7.325
Pb 7.258 4.191 8.139
Pb 2.419 1.397 2.077
```

Output
Crystal system: trigonal
M_tot, Bohr magnetons per cell: 0.000
ΔE_f, eV per atom: -0.286
Uncorrected energy, eV for the cell shown: -25.93

=====

Entry 21:
Na2Si2Pd: optimized geometry, PBE-GGA.

The structure in extended XYZ format:
```
10
Lattice="6.290 0.000 0.000 0.000 6.290 0.000 0.000 0.000 4.936" Properties=species:S:1:pos:R:3 pbc="T T T"
Na 1.135 4.280 2.468
Na 4.280 5.156 2.468
Na 5.156 2.011 2.468
Na 2.011 1.135 2.468
Si 2.322 5.468 0.000
Si 5.468 3.968 0.000
Si 3.968 0.823 0.000
Si 0.823 2.322 0.000
Pd 0.000 0.000 0.000
Pd 3.145 3.145 0.000
```

Output
Crystal system: tetragonal
Raw formation energy, eV per atom: -0.203
M_tot, Bohr magnetons per cell: 0.000
Uncorrected energy, eV for the cell shown: -39.39